(1)
# La4Nd3TmTe8, relaxed, DFT PBE
# - space-group type = R-3m
# - E_tot (eV/cell) = -87.23
# - magnetic moment (μB per cell) = 0.002
data_La4Nd3TmTe8
_cell_length_a 9.020
_cell_length_b 9.020
_cell_length_c 9.020
_cell_angle_alpha 60.23
_cell_angle_beta 60.23
_cell_angle_gamma 60.23
_symmetry_space_group_name_H-M 'P 1'
_symmetry_Int_Tables_number 1
loop_
_symmetry_equiv_pos_as_xyz
'x,y,z'
loop_
_atom_site_label
_atom_site_type_symbol
_atom_site_fract_x
_atom_site_fract_y
_atom_site_fract_z
La1 La 0.000 0.000 0.000
La2 La 0.000 0.500 0.500
La3 La 0.500 0.000 0.500
La4 La 0.500 0.500 0.000
Nd1 Nd 0.000 0.000 0.500
Nd2 Nd 0.000 0.500 0.000
Nd3 Nd 0.500 0.000 0.000
Tm1 Tm 0.500 0.500 0.500
Te1 Te 0.248 0.248 0.248
Te2 Te 0.255 0.742 0.742
Te3 Te 0.258 0.258 0.745
Te4 Te 0.258 0.745 0.258
Te5 Te 0.742 0.255 0.742
Te6 Te 0.742 0.742 0.255
Te7 Te 0.745 0.258 0.258
Te8 Te 0.752 0.752 0.752

=====

(2)
# BaPmSn, relaxed, DFT PBE
# - space-group type = I4mm
# - magnetic moment (μB per cell) = 0.000
# - formation energy from the elements (eV per formula unit) = -1.01
data_BaPmSn
_cell_length_a 8.237
_cell_length_b 8.237
_cell_length_c 8.237
_cell_angle_alpha 153.14
_cell_angle_beta 153.14
_cell_angle_gamma 38.35
_symmetry_space_group_name_H-M 'P 1'
_symmetry_Int_Tables_number 1
loop_
_symmetry_equiv_pos_as_xyz
'x,y,z'
loop_
_atom_site_label
_atom_site_type_symbol
_atom_site_fract_x
_atom_site_fract_y
_atom_site_fract_z
Ba1 Ba 0.000 0.000 0.000
Pm1 Pm 0.280 0.280 0.000
Sn1 Sn 0.658 0.658 0.000

=====

Repeat the second record exactly.
# BaPmSn, relaxed, DFT PBE
# - space-group type = I4mm
# - magnetic moment (μB per cell) = 0.000
# - formation energy from the elements (eV per formula unit) = -1.01
data_BaPmSn
_cell_length_a 8.237
_cell_length_b 8.237
_cell_length_c 8.237
_cell_angle_alpha 153.14
_cell_angle_beta 153.14
_cell_angle_gamma 38.35
_symmetry_space_group_name_H-M 'P 1'
_symmetry_Int_Tables_number 1
loop_
_symmetry_equiv_pos_as_xyz
'x,y,z'
loop_
_atom_site_label
_atom_site_type_symbol
_atom_site_fract_x
_atom_site_fract_y
_atom_site_fract_z
Ba1 Ba 0.000 0.000 0.000
Pm1 Pm 0.280 0.280 0.000
Sn1 Sn 0.658 0.658 0.000